[1]
A geometry-optimized Eu2BBrN2 structure. Source: Alexandria, functional PBE-GGA.

```
data_Eu2BBrN2
_chemical_formula_sum 'Eu6 B3 Br3 N6'
_cell_length_a 4.0411
_cell_length_b 4.0411
_cell_length_c 26.8243
_cell_angle_alpha 90.00
_cell_angle_beta 90.00
_cell_angle_gamma 120.00
_symmetry_space_group_name_H-M 'R -3 m'
_symmetry_Int_Tables_number 166
_symmetry_space_group_name_Hall '-R 3 2"'
loop_
_atom_site_label
_atom_site_type_symbol
_atom_site_fract_x
_atom_site_fract_y
_atom_site_fract_z
Eu1 Eu 0.0000 0.0000 0.2483
B1 B 0.0000 0.0000 0.5000
Br1 Br 0.0000 0.0000 0.0000
N1 N 0.0000 0.0000 0.4496
```

Values from the calculation:
- theoretical density (Mg/m³) = 5.55
- final energy (eV per atom) = -8.98
- formation energy without anion corrections (eV per atom) = -1.389
- DOS at the Fermi energy (states/eV/cell) = 79.7


[2]
A geometry-optimized Eu2B5BrO9 structure. Source: Alexandria, functional PBE-GGA.

```
data_Eu2B5BrO9
_chemical_formula_sum 'Eu8 B20 Br4 O36'
_cell_length_a 11.518
_cell_length_b 11.642
_cell_length_c 6.537
_cell_angle_alpha 90.00
_cell_angle_beta 90.00
_cell_angle_gamma 90.00
_symmetry_space_group_name_H-M 'P n n 2'
_symmetry_Int_Tables_number 34
_symmetry_space_group_name_Hall 'P 2 -2n'
loop_
_atom_site_label
_atom_site_type_symbol
_atom_site_fract_x
_atom_site_fract_y
_atom_site_fract_z
Eu1 Eu 0.047 0.247 0.000
Eu2 Eu 0.239 0.466 0.342
B1 B 0.005 0.753 0.468
B2 B 0.176 0.724 0.695
B3 B 0.205 0.811 0.343
B4 B 0.217 0.203 0.526
B5 B 0.239 0.034 0.305
Br1 Br 0.000 0.000 0.882
Br2 Br 0.000 0.500 0.137
O1 O 0.048 0.720 0.655
O2 O 0.078 0.790 0.314
O3 O 0.111 0.256 0.423
O4 O 0.185 0.754 0.912
O5 O 0.213 0.075 0.497
O6 O 0.223 0.221 0.746
O7 O 0.228 0.609 0.650
O8 O 0.233 0.812 0.565
O9 O 0.235 0.922 0.245
```

Values from the calculation:
- theoretical density (Mg/m³) = 4.41
- final energy (eV per atom) = -8.48
- formation energy without anion corrections (eV per atom) = -2.588


[3]
A geometry-optimized BBr3F structure. Source: Alexandria, functional PBE-GGA.

```
data_BBr3F
_chemical_formula_sum 'B1 Br3 F1'
_cell_length_a 4.622
_cell_length_b 4.622
_cell_length_c 4.622
_cell_angle_alpha 90.00
_cell_angle_beta 90.00
_cell_angle_gamma 90.00
_symmetry_space_group_name_H-M 'P m -3 m'
_symmetry_Int_Tables_number 221
_symmetry_space_group_name_Hall '-P 4 2 3'
loop_
_atom_site_label
_atom_site_type_symbol
_atom_site_fract_x
_atom_site_fract_y
_atom_site_fract_z
B1 B 0.000 0.000 0.000
Br1 Br 0.000 0.000 0.500
F1 F 0.500 0.500 0.500
```

Values from the calculation:
- theoretical density (Mg/m³) = 4.53
- final energy (eV per atom) = -2.22
- formation energy without anion corrections (eV per atom) = 0.490
- DOS at the Fermi energy (states/eV/cell) = 7.5